A plane-wave DFT calculation with PBE-GGA was carried out for LaPmTlPb after structural relaxation.

POSCAR file:
```
LaPmTlPb
1.0
5.5850 0.0000 0.0000
2.7925 4.8368 0.0000
2.7925 1.6123 4.5601
Pb Tl La Pm
1 1 1 1
direct
0.0000 0.0000 0.0000
0.5000 0.5000 0.5000
0.2500 0.2500 0.2500
0.7500 0.7500 0.7500
```

For the volume, the calculation gives 30.796 A^3/atom. The calculation puts the energy at -17.6 eV for the cell shown. The calculation puts the formation energy at -0.455 eV/atom.